A:
# SnTe3Se

An optimized crystal structure of SnTe3Se (PBE-GGA, the Alexandria database).

Geometry as POSCAR:
```
SnTe3Se
1.0
-1.395 -1.131 -5.179
4.305 -3.366 -0.425
-3.092 -4.176 1.745
Se Te Sn
1 3 1
direct
0.000 0.000 0.000
0.000 0.000 0.500
0.500 0.000 0.000
0.000 0.500 0.000
0.500 0.500 0.500
```

Results
space group: Pm-3m, No. 221

B:
# SnTe3Se

An optimized crystal structure of SnTe3Se (PBE-GGA, the Alexandria database).

Geometry as POSCAR:
```
SnTe3Se
1.0
-0.499 -3.285 4.622
2.596 -4.257 -2.745
5.041 1.867 1.871
Te Se Sn
3 1 1
direct
0.000 0.000 0.500
0.500 0.000 0.000
0.000 0.500 0.000
0.500 0.500 0.500
0.000 0.000 0.000
```

Results
space group: Pm-3m, No. 221

A ends up most stable, edging out the next structure by 39.0 kJ/mol of atoms.

A:
# Sn4TeSe3

An optimized crystal structure of Sn4TeSe3 (PBE-GGA, the Alexandria database).

Geometry as POSCAR:
```
Sn4TeSe3
1.0
4.267 0.000 0.000
0.000 4.662 -0.017
0.000 0.056 11.853
Se Te Sn
3 1 4
direct
0.500 0.984 0.349
0.000 0.490 0.142
0.500 0.527 0.858
0.000 0.023 0.642
0.000 0.138 0.892
0.500 0.885 0.119
0.000 0.378 0.374
0.500 0.575 0.624
```

Results
space group: Pm, No. 6

B:
# Sn4TeSe3

An optimized crystal structure of Sn4TeSe3 (PBE-GGA, the Alexandria database).

Geometry as POSCAR:
```
Sn4TeSe3
1.0
4.333 -0.051 0.079
0.048 7.212 2.119
-0.129 0.394 7.635
Se Sn Te
3 4 1
direct
0.999 0.004 0.981
0.999 0.504 0.482
0.499 0.001 0.490
0.501 0.743 0.271
0.000 0.247 0.273
0.501 0.233 0.760
0.000 0.768 0.750
0.499 0.501 0.992
```

Results
space group: P1, No. 1

B ends up most stable, edging out the next structure by 0.6 kJ/mol of atoms.

A:
# Sn2TeSe

An optimized crystal structure of Sn2TeSe (PBE-GGA, the Alexandria database).

Geometry as POSCAR:
```
Sn2TeSe
1.0
-0.809 -3.977 1.706
4.122 1.540 -0.135
-1.729 5.097 5.383
Te Sn Se
1 2 1
direct
0.000 0.000 0.000
0.489 0.245 0.733
0.511 0.756 0.267
0.000 0.500 0.500
```

Results
space group: R-3m, No. 166

B:
# Sn2TeSe

An optimized crystal structure of Sn2TeSe (PBE-GGA, the Alexandria database).

Geometry as POSCAR:
```
Sn2TeSe
1.0
0.000 3.780 3.780
3.780 0.000 3.780
3.780 3.780 0.000
Te Se Sn
1 1 2
direct
0.500 0.500 0.500
0.000 0.000 0.000
0.750 0.750 0.750
0.250 0.250 0.250
```

Results
space group: Fm-3m, No. 225

C:
# Sn2TeSe

An optimized crystal structure of Sn2TeSe (PBE-GGA, the Alexandria database).

Geometry as POSCAR:
```
Sn2TeSe
1.0
-5.523 -2.484 3.556
3.134 -6.266 0.490
1.750 -2.438 7.948
Sn Te Se
4 2 2
direct
0.875 0.851 0.750
0.149 0.625 0.250
0.375 0.399 0.750
0.601 0.125 0.250
0.000 0.000 0.000
0.750 0.250 0.500
0.500 0.500 0.000
0.250 0.750 0.500
```

Results
space group: I-42d, No. 122

A ends up most stable, edging out the next structure by 22.8 kJ/mol of atoms.

A:
# Sn3Te2Se

An optimized crystal structure of Sn3Te2Se (PBE-GGA, the Alexandria database).

Geometry as POSCAR:
```
Sn3Te2Se
1.0
-4.202 0.827 -1.171
1.151 -2.305 -5.758
-0.250 -5.339 5.543
Te Sn Se
2 3 1
direct
0.171 0.171 0.842
0.829 0.829 0.158
0.844 0.344 0.188
0.500 0.000 0.500
0.156 0.656 0.812
0.500 0.500 0.500
```

Results
space group: Immm, No. 71

B:
# Sn3Te2Se

An optimized crystal structure of Sn3Te2Se (PBE-GGA, the Alexandria database).

Geometry as POSCAR:
```
Sn3Te2Se
1.0
-3.515 2.640 0.671
0.379 -3.813 2.256
5.400 5.190 7.866
Sn Te Se
3 2 1
direct
0.000 0.000 0.500
0.667 0.333 0.848
0.333 0.667 0.152
0.333 0.667 0.674
0.667 0.333 0.326
0.000 0.000 0.000
```

Results
space group: P-3m1, No. 164

B ends up most stable, edging out the next structure by 0.9 kJ/mol of atoms.